Below is NaGaBi2 after structural relaxation, with properties calculated at the PBE level.

```
8
Lattice="3.341 0.839 0.019 1.735 7.243 -1.188 -2.311 -5.496 10.702" Properties=species:S:1:pos:R:3 pbc="T T T"
Bi 2.301 3.011 1.913
Bi 0.277 -3.359 7.857
Bi -0.518 -0.121 7.233
Bi -0.230 -0.997 2.475
Ga 0.937 1.454 4.572
Ga -1.092 -4.914 10.515
Na 1.403 -0.884 9.933
Na 1.692 -1.760 5.175
```

Computed properties:
Volume   28.00 Å³/atom
Crystal system   triclinic
Total magnetization   0.00 μB per cell
Calculated total energy   -12.461 eV per formula unit
Formation enthalpy at 0 K   -8.5 kJ per mole of atoms

Below is Na2GaBi after structural relaxation, with properties calculated at the PBE level.

```
8
Lattice="5.774 0.000 0.000 0.000 6.076 -1.483 0.000 0.699 6.215" Properties=species:S:1:pos:R:3 pbc="T T T"
Ga 2.887 3.388 2.366
Ga 0.000 3.388 2.366
Na 1.443 6.234 0.702
Na 4.330 3.971 -0.879
Na 4.330 0.541 4.031
Na 1.443 2.805 5.612
Bi 4.330 1.187 0.829
Bi 1.443 5.588 3.904
```

Computed properties:
Volume   28.00 Å³/atom
Crystal system   orthorhombic
Total magnetization   0.00 μB per cell
Calculated total energy   -10.196 eV per formula unit
Formation enthalpy at 0 K   -15.7 kJ per mole of atoms

Below is Na3GaBi3 after structural relaxation, with properties calculated at the PBE level.

```
14
Lattice="-1.563 2.411 -4.677 -8.186 2.333 3.939 7.519 6.072 0.617" Properties=species:S:1:pos:R:3 pbc="T T T"
Na 2.286 7.546 1.515
Na -0.931 7.115 2.368
Na -1.299 3.702 -2.490
Na -4.516 3.270 -1.637
Na -3.001 6.305 -0.578
Na 0.772 4.512 0.457
Bi 4.110 4.705 -0.559
Bi 0.044 7.720 -0.867
Bi -2.274 3.097 0.746
Bi 4.731 6.942 -2.834
Bi -6.339 6.112 0.438
Bi -6.960 3.875 2.713
Ga 1.989 6.347 -2.225
Ga -4.219 4.470 2.104
```

Computed properties:
Volume   30.95 Å³/atom
Crystal system   monoclinic
Total magnetization   0.00 μB per cell
Calculated total energy   -19.999 eV per formula unit
Formation enthalpy at 0 K   -18.9 kJ per mole of atoms

Below is Na2Ga3Bi2 after structural relaxation, with properties calculated at the PBE level.

```
7
Lattice="-1.996 -4.527 -1.883 6.152 0.778 -0.948 -1.213 -2.094 6.321" Properties=species:S:1:pos:R:3 pbc="T T T"
Ga -0.998 -2.264 -0.941
Ga 3.575 -2.452 2.107
Ga -0.632 -3.392 1.383
Bi 1.256 -0.994 1.058
Bi 1.686 -4.850 2.432
Na 0.650 -2.066 4.279
Na 2.292 -3.777 -0.789
```

Computed properties:
Volume   26.78 Å³/atom
Crystal system   monoclinic
Total magnetization   0.00 μB per cell
Calculated total energy   -20.287 eV per formula unit
Formation enthalpy at 0 K   -11.1 kJ per mole of atoms

Below is Na3Ga2Bi4 after structural relaxation, with properties calculated at the PBE level.

```
9
Lattice="0.199 -0.980 -4.464 -2.210 -6.892 1.395 -6.656 5.492 0.880" Properties=species:S:1:pos:R:3 pbc="T T T"
Na -3.119 -2.934 0.498
Na -5.547 0.553 -2.686
Na 0.000 0.000 0.000
Ga -4.527 3.137 -0.869
Ga -4.140 -5.518 -1.319
Bi -3.181 0.549 -0.242
Bi -5.485 -2.929 -1.946
Bi -0.802 -2.480 -1.842
Bi -7.864 0.100 -0.346
```

Computed properties:
Volume   29.26 Å³/atom
Crystal system   triclinic
Total magnetization   0.00 μB per cell
Energy above the lowest structure with this stoichiometry   0.0 meV per atom
Calculated total energy   -26.922 eV per formula unit
Formation enthalpy at 0 K   -14.9 kJ per mole of atoms

Below is Na2Ga2Bi after structural relaxation, with properties calculated at the PBE level.

```
5
Lattice="-1.264 2.170 -3.524 0.175 -3.653 -2.312 -7.090 -2.037 -1.368" Properties=species:S:1:pos:R:3 pbc="T T T"
Bi 0.000 0.000 0.000
Na -4.449 -0.305 -3.905
Na -3.729 -3.216 -3.299
Ga -6.446 -2.544 -4.567
Ga -1.732 -0.977 -2.637
```

Computed properties:
Volume   25.65 Å³/atom
Crystal system   tetragonal
Total magnetization   0.00 μB per cell
Energy above the lowest structure with this stoichiometry   44.3 meV per atom
Calculated total energy   -12.589 eV per formula unit
Formation enthalpy at 0 K   -0.3 kJ per mole of atoms